[1]
This record from the Alexandria database describes a relaxed structure of La2Dy4Er5. The functional is PBE.

Size of the total moment in μB per cell: 0.000
Density of states at the Fermi level in states/eV/cell: 31.2
Energy relative to the elements in eV/f.u.: 1.687

Cell: 16.506 6.654 6.707 Å, 90.00 100.23 90.00°
Space group C2/m (No. 12)
Unique sites:
La 0.199 0.000 0.295 [4 per cell]
Dy 0.086 0.500 0.403 [4 per cell]
Dy 0.244 0.000 0.805 [4 per cell]
Er 0.000 0.000 0.500 [2 per cell]
Er 0.088 0.261 0.905 [8 per cell]

---

[2]
This record from the Alexandria database describes a relaxed structure of Pm5Nd2SmSc. The functional is PBE.

Size of the total moment in μB per cell: 0.001
Density of states at the Fermi level in states/eV/cell: 54.8
Energy relative to the elements in eV/f.u.: 1.094

Cell: 5.435 22.087 10.227 Å, 90.00 90.00 90.00°
Space group Cmc2_1 (No. 36)
Unique sites:
Pm 0.000 0.000 0.000 [4 per cell]
Pm 0.000 0.127 0.250 [4 per cell]
Pm 0.000 0.222 0.561 [4 per cell]
Pm 0.000 0.223 0.937 [4 per cell]
Pm 0.000 0.499 0.750 [4 per cell]
Nd 0.000 0.383 0.504 [4 per cell]
Nd 0.000 0.383 0.996 [4 per cell]
Sm 0.000 0.102 0.750 [4 per cell]
Sc 0.000 0.286 0.249 [4 per cell]

---

[3]
This record from the Alexandria database describes a relaxed structure of AsP2. The functional is PBE.

Size of the total moment in μB per cell: 0.000
Density of states at the Fermi level in states/eV/cell: 1.6
Energy relative to the elements in eV/f.u.: 0.538

Cell: 3.559 10.982 2.569 Å, 90.00 90.00 90.00°
Space group Cmmm (No. 65)
Unique sites:
As 0.000 0.000 0.000 [2 per cell]
P 0.000 0.323 0.000 [4 per cell]

---

[4]
This record from the Alexandria database describes a relaxed structure of CrNi2. The functional is PBE.

Size of the total moment in μB per cell: 6.700
Density of states at the Fermi level in states/eV/cell: 16.1
Energy relative to the elements in eV/f.u.: 2.665

Cell: 5.459 5.459 5.459 Å, 90.00 90.00 90.00°
Space group Pa-3 (No. 205)
Unique sites:
Cr 0.000 0.000 0.000 [4 per cell]
Ni 0.122 0.622 0.878 [8 per cell]

---

[5]
This record from the Alexandria database describes a relaxed structure of KRb2Ir. The functional is PBE.

Size of the total moment in μB per cell: 0.330
Density of states at the Fermi level in states/eV/cell: 11.1
Energy relative to the elements in eV/f.u.: 3.203

Cell: 11.649 11.649 6.262 Å, 90.00 90.00 90.00°
Space group I-42d (No. 122)
Unique sites:
K 0.000 0.000 0.000 [4 per cell]
Rb 0.102 0.250 0.625 [8 per cell]
Ir 0.000 0.000 0.500 [4 per cell]

---

[6]
This record from the Alexandria database describes a relaxed structure of Y2HfAlO. The functional is PBE.

Size of the total moment in μB per cell: 0.000
Density of states at the Fermi level in states/eV/cell: 3.2
Formation energy without anion corrections in eV/atom: -1.229

Cell: 4.811 4.811 4.313 Å, 90.00 90.00 90.00°
Space group P4/mmm (No. 123)
Unique sites:
Y 0.000 0.500 0.000 [2 per cell]
Hf 0.000 0.000 0.500 [1 per cell]
Al 0.500 0.500 0.500 [1 per cell]
O 0.000 0.000 0.000 [1 per cell]

---

[7]
This record from the Alexandria database describes a relaxed structure of CsRb2Li2Te2. The functional is PBE.

Size of the total moment in μB per cell: 0.000
Density of states at the Fermi level in states/eV/cell: 4.7
Formation energy without anion corrections in eV/atom: -0.858

Cell: 4.8405 4.8405 45.7873 Å, 90.00 90.00 120.00°
Space group R-3m (No. 166, hexagonal axes)
Unique sites:
Cs 0.0000 0.0000 0.0000 [3 per cell]
Rb 0.0000 0.0000 0.1192 [6 per cell]
Li 0.0000 0.0000 0.3956 [6 per cell]
Te 0.0000 0.0000 0.2715 [6 per cell]

---

[8]
This record from the Alexandria database describes a relaxed structure of CuCl2. The functional is PBE.

Size of the total moment in μB per cell: 0.109
Density of states at the Fermi level in states/eV/cell: 8.7
Formation energy without anion corrections in eV/atom: -0.067

Cell: 6.2051 6.2051 4.4267 Å, 90.00 90.00 120.00°
Space group P6_3/mmc (No. 194)
Unique sites:
Cu 0.3333 0.6667 0.2500 [2 per cell]
Cl 0.0000 0.0000 0.0000 [2 per cell]
Cl 0.3333 0.6667 0.7500 [2 per cell]

---

Q: Which of these has the highest size of the total moment?
A: CrNi2